Here is a geometry-optimized Rb2ScCdF6 structure from OQMD. Energies are from PBE-GGA.

Computed properties:
VASP energy (eV/atom): -4.919

```
Rb2ScCdF6
1.0
-0.8621 -1.5137 5.9062
-4.4685 2.7140 3.2533
-4.9851 -3.2114 1.6593
F Rb Cd Sc
6 2 1 1
direct
0.2708 0.2708 0.7292
0.2708 0.7292 0.2708
0.7292 0.7292 0.2708
0.2708 0.7292 0.7292
0.7292 0.2708 0.2708
0.7292 0.2708 0.7292
0.2500 0.2500 0.2500
0.7500 0.7500 0.7500
0.0000 0.0000 0.0000
0.5000 0.5000 0.5000
```

---

Here is a geometry-optimized LiZrIrPb structure from OQMD. Energies are from PBE-GGA.

Computed properties:
ΔE to the lowest computed polymorph (eV/f.u.): 1.01

```
LiZrIrPb
1.0
0.0000 3.3394 3.3394
3.3394 0.0000 3.3394
3.3394 3.3394 0.0000
Li Ir Pb Zr
1 1 1 1
direct
0.7500 0.7500 0.7500
0.0000 0.0000 0.0000
0.5000 0.5000 0.5000
0.2500 0.2500 0.2500
```

---

Here is a geometry-optimized Nd2Sm structure from OQMD. Energies are from PBE-GGA.

Computed properties:
Formation enthalpy at 0 K (eV/atom): 2.10
ΔE to the lowest computed polymorph (eV/f.u.): 5.55

```
Nd2Sm
1.0
4.5848 2.6471 7.4870
-4.5848 2.6471 7.4870
0.0000 -5.2941 7.4870
Sm Nd
2 4
direct
0.1250 0.1250 0.1250
0.8750 0.8750 0.8750
0.0000 0.5000 0.0000
0.0000 0.0000 0.0000
0.5000 0.0000 0.0000
0.0000 0.0000 0.5000
```

---

Here is a geometry-optimized Sr3H6Ir structure from OQMD. Energies are from PBE-GGA.

Computed properties:
VASP energy (eV/atom): -3.632

```
Sr3H6Ir
1.0
0.0000 4.1370 4.1370
4.1370 0.0000 4.1370
4.1370 4.1370 0.0000
H Sr Ir
6 3 1
direct
0.7905 0.2095 0.2095
0.7905 0.2095 0.7905
0.2095 0.7905 0.2095
0.2095 0.2095 0.7905
0.2095 0.7905 0.7905
0.7905 0.7905 0.2095
0.2500 0.2500 0.2500
0.5000 0.5000 0.5000
0.7500 0.7500 0.7500
0.0000 0.0000 0.0000
```